1.
PrThPb2 (PBE, relaxed); uncorrected energy = -0.3802 Ry/atom; symmetry = R-3m (166); calculated density = 10.532 g/cm³; volume = 31.03 Å³/atom; energy relative to the elements = -0.2688 eV per atom; total moment = 0.0 Bohr magnetons per cell
1.0
-3.361 1.226 -0.319
-1.602 0.034 -3.215
-5.562 -9.815 0.662
Pb Pr Th
2 1 1
direct
0.750 0.750 0.750 Pb
0.250 0.250 0.250 Pb
0.000 0.000 0.000 Pr
0.500 0.500 0.500 Th



2.
LiHgAs2 (PBE, relaxed); uncorrected energy = -0.2105 Ry/atom; symmetry = Cmmm (65); calculated density = 7.462 g/cm³; volume = 19.88 Å³/atom; energy relative to the elements = 0.0143 eV per atom; total moment = 0.0 Bohr magnetons per cell
1.0
5.238 0.056 0.000
-1.798 4.919 0.000
0.000 0.000 3.075
As Hg Li
2 1 1
direct
0.000 0.000 0.000 As
0.500 0.500 0.000 As
0.500 0.000 0.500 Hg
0.000 0.500 0.500 Li



3.
Pm5PuSn5 (PBE, relaxed); uncorrected energy = -0.4161 Ry/atom; symmetry = C2/m (12); calculated density = 6.931 g/cm³; volume = 34.03 Å³/atom; energy relative to the elements = -0.3796 eV per atom; total moment = 5.8 Bohr magnetons per cell
1.0
-1.500 -6.034 0.981
7.078 1.020 -3.100
0.865 1.192 8.652
Pm Pu Sn
5 1 5
direct
0.670 0.341 0.334 Pm
0.667 0.334 0.831 Pm
0.000 0.000 0.500 Pm
0.333 0.666 0.169 Pm
0.330 0.659 0.666 Pm
0.000 0.000 0.000 Pu
0.839 0.677 0.166 Sn
0.838 0.675 0.670 Sn
0.500 0.000 0.000 Sn
0.162 0.325 0.330 Sn
0.161 0.323 0.834 Sn



4.
NiTe2Se2 (PBE, relaxed); ΔE_f (raw) = 84.3 meV per atom; uncorrected energy = -0.2736 Ry/atom; energy above the lowest structure with this stoichiometry = 164 meV/atom; symmetry = P4/mbm (127); calculated density = 6.510 g/cm³; volume = 24.07 Å³/atom; total moment = 0.0 Bohr magnetons per cell
1.0
-6.315 0.048 -1.087
-0.114 -6.395 0.383
-0.989 0.363 5.767
Ni Te Se
2 4 4
direct
0.000 0.000 0.000 Ni
0.500 0.500 0.000 Ni
0.275 0.775 0.500 Te
0.775 0.725 0.500 Te
0.725 0.225 0.500 Te
0.225 0.275 0.500 Te
0.325 0.825 0.000 Se
0.825 0.675 0.000 Se
0.675 0.175 0.000 Se
0.175 0.325 0.000 Se



5.
LiHo12Ru6 (PBE, relaxed); uncorrected energy = -0.4425 Ry/atom; symmetry = R-3 (148); calculated density = 8.569 g/cm³; volume = 26.44 Å³/atom; energy relative to the elements = -0.1000 eV per atom; total moment = 0.0 Bohr magnetons per cell
1.0
8.127 -0.178 -0.213
-1.408 8.006 -0.213
-1.408 -1.640 7.840
Li Ho Ru
1 12 6
direct
0.000 0.000 0.000 Li
0.824 0.584 0.444 Ho
0.444 0.824 0.584 Ho
0.584 0.444 0.824 Ho
0.176 0.416 0.556 Ho
0.556 0.176 0.416 Ho
0.416 0.556 0.176 Ho
0.079 0.931 0.335 Ho
0.069 0.665 0.921 Ho
0.665 0.921 0.069 Ho
0.921 0.069 0.665 Ho
0.931 0.335 0.079 Ho
0.335 0.079 0.931 Ho
0.697 0.861 0.386 Ru
0.614 0.303 0.139 Ru
0.139 0.614 0.303 Ru
0.303 0.139 0.614 Ru
0.386 0.697 0.861 Ru
0.861 0.386 0.697 Ru



6.
Pm3NdTm2Bi6 (PBE, relaxed); uncorrected energy = -0.3788 Ry/atom; symmetry = C2/m (12); calculated density = 9.100 g/cm³; volume = 33.01 Å³/atom; energy relative to the elements = -0.8836 eV per atom; total moment = 0.0 Bohr magnetons per cell
1.0
-2.224 -3.457 -1.926
1.893 -5.215 7.176
-7.503 5.904 3.417
Pm Nd Tm Bi
3 1 2 6
direct
0.500 0.500 0.000 Pm
0.835 0.168 0.669 Pm
0.165 0.832 0.331 Pm
0.500 0.000 0.000 Nd
0.833 0.667 0.665 Tm
0.167 0.333 0.335 Tm
0.332 0.910 0.664 Bi
0.669 0.577 0.338 Bi
0.668 0.090 0.336 Bi
0.003 0.253 0.006 Bi
0.997 0.747 0.994 Bi
0.331 0.423 0.662 Bi



7.
Tl2RuO3 (PBE, relaxed); ΔE_f (raw) = -614.9 meV per atom; uncorrected energy = -0.3990 Ry/atom; symmetry = Cmcm (63); calculated density = 8.399 g/cm³; volume = 18.38 Å³/atom; total moment = 1.9 Bohr magnetons per cell
1.0
-4.318 -4.004 -1.282
4.140 -4.696 0.723
-2.971 1.490 5.354
Tl Ru O
4 2 6
direct
0.750 0.452 0.791 Tl
0.250 0.209 0.548 Tl
0.250 0.548 0.209 Tl
0.750 0.791 0.452 Tl
0.250 0.939 0.939 Ru
0.750 0.061 0.061 Ru
0.000 0.119 0.881 O
0.500 0.119 0.881 O
0.250 0.676 0.676 O
0.750 0.324 0.324 O
0.500 0.881 0.119 O
0.000 0.881 0.119 O



8.
Re3TcRu (PBE, relaxed); uncorrected energy = -0.6672 Ry/atom; energy above the lowest structure with this stoichiometry = 2268 meV/atom; symmetry = Pm-3m (221); calculated density = 13.035 g/cm³; volume = 19.30 Å³/atom; energy relative to the elements = 2.3189 eV per atom; total moment = 0.0 Bohr magnetons per cell
1.0
-4.024 -0.835 2.037
1.256 -4.357 0.695
1.808 1.168 4.051
Re Tc Ru
3 1 1
direct
0.000 0.500 0.000 Re
0.000 0.000 0.500 Re
0.500 0.000 0.000 Re
0.000 0.000 0.000 Tc
0.500 0.500 0.500 Ru



9.
SiNi2Te (PBE, relaxed); ΔE_f (raw) = 216.0 meV per atom; uncorrected energy = -0.3540 Ry/atom; energy above the lowest structure with this stoichiometry = 432 meV/atom; symmetry = I-4m2 (119); calculated density = 7.538 g/cm³; volume = 15.04 Å³/atom; total moment = 0.0 Bohr magnetons per cell
1.0
-3.442 3.647 0.808
-4.545 -0.523 -2.206
3.116 -2.859 2.814
Ni Si Te
2 1 1
direct
0.000 0.000 0.000 Ni
0.250 0.750 0.500 Ni
0.500 0.500 0.000 Si
0.750 0.250 0.500 Te



10.
Ho2ZnPd8 (PBE, relaxed); uncorrected energy = -0.3925 Ry/atom; symmetry = C2/m (12); calculated density = 10.778 g/cm³; volume = 17.46 Å³/atom; energy relative to the elements = -0.6153 eV per atom; total moment = 0.0 Bohr magnetons per cell
1.0
-1.811 -0.324 4.184
2.657 -5.367 0.734
5.194 5.979 0.215
Ho Zn Pd
2 1 8
direct
0.809 0.309 0.617 Ho
0.191 0.691 0.383 Ho
0.500 0.000 0.000 Zn
0.366 0.600 0.732 Pd
0.635 0.870 0.269 Pd
0.825 0.825 0.650 Pd
0.000 0.254 0.000 Pd
0.175 0.175 0.350 Pd
0.365 0.130 0.731 Pd
0.634 0.400 0.268 Pd
0.000 0.746 0.000 Pd



11.
CsPrBr4 (PBE, relaxed); ΔE_f (raw) = -1833.6 meV per atom; uncorrected energy = -0.2857 Ry/atom; energy above the lowest structure with this stoichiometry = 12 meV/atom; symmetry = C2/c (15); calculated density = 3.900 g/cm³; volume = 42.12 Å³/atom; total moment = 0.0 Bohr magnetons per cell
1.0
-3.445 -6.213 2.180
5.630 -3.860 -5.666
3.150 2.300 7.968
Cs Pr Br
2 2 8
direct
0.750 0.642 0.358 Cs
0.250 0.358 0.642 Cs
0.250 0.001 0.999 Pr
0.750 0.999 0.001 Pr
0.929 0.684 0.802 Br
0.028 0.947 0.247 Br
0.571 0.198 0.316 Br
0.472 0.753 0.053 Br
0.528 0.247 0.947 Br
0.429 0.802 0.684 Br
0.972 0.053 0.753 Br
0.071 0.316 0.198 Br



12.
BaCaTe2 (PBE, relaxed); ΔE_f (raw) = -1673.4 meV per atom; uncorrected energy = -0.3106 Ry/atom; energy above the lowest structure with this stoichiometry = 22 meV/atom; symmetry = P6_3/mmc (194); calculated density = 4.710 g/cm³; volume = 38.13 Å³/atom; total moment = 0.0 Bohr magnetons per cell
1.0
4.705 0.000 0.000
-2.352 4.074 0.000
0.000 0.000 15.914
Ba Ca Te
2 2 4
direct
0.667 0.333 0.250 Ba
0.333 0.667 0.750 Ba
0.000 0.000 0.500 Ca
0.000 0.000 0.000 Ca
0.333 0.667 0.389 Te
0.667 0.333 0.889 Te
0.667 0.333 0.611 Te
0.333 0.667 0.111 Te



Which formula does entry 9 have?
SiNi2Te



Which formula does entry 7 have?
Tl2RuO3



Which of these has the lowest uncorrected energy?
Re3TcRu



Copy entry 9 word for word.
SiNi2Te (PBE, relaxed); ΔE_f (raw) = 216.0 meV per atom; uncorrected energy = -0.3540 Ry/atom; energy above the lowest structure with this stoichiometry = 432 meV/atom; symmetry = I-4m2 (119); calculated density = 7.538 g/cm³; volume = 15.04 Å³/atom; total moment = 0.0 Bohr magnetons per cell
1.0
-3.442 3.647 0.808
-4.545 -0.523 -2.206
3.116 -2.859 2.814
Ni Si Te
2 1 1
direct
0.000 0.000 0.000 Ni
0.250 0.750 0.500 Ni
0.500 0.500 0.000 Si
0.750 0.250 0.500 Te